1.
VASP calculation (PBE) on a relaxed ZrReRh crystal.

Output
offset from the most stable computed form: 0.124 eV/atom

Unit cell a=5.305 b=5.305 c=5.305 alpha=149.20 beta=137.12 gamma=53.72
Atoms (fractional coordinates):
Zr (0.000, 0.000, 0.000)
Re (0.687, 0.687, 0.000)
Rh (0.305, 0.305, 0.000)

---

2.
VASP calculation (PBE) on a relaxed Zr2ReRh crystal.

Unit cell a=8.687 b=8.687 c=8.687 alpha=21.05 beta=21.05 gamma=21.05
Atoms (fractional coordinates):
Zr (0.250, 0.250, 0.250)
Zr (0.750, 0.750, 0.750)
Re (0.000, 0.000, 0.000)
Rh (0.500, 0.500, 0.500)

---

| no. | formation enthalpy at 0 K (meV per atom) | total energy (eV per atom) |
| --- | --- | --- |
| 1 | -84 | -9.53 |
| 2 | -169 | -9.39 |